# ThRhAu | the Alexandria database | PBE-GGA | relaxed
data_ThRhAu
_space_group_name_H-M_alt 'P 1 21/m 1'
_space_group_IT_number 11
_cell_length_a 5.177
_cell_length_b 4.836
_cell_length_c 5.575
_cell_angle_alpha 90.00
_cell_angle_beta 94.00
_cell_angle_gamma 90.00
loop_
_space_group_symop_operation_xyz
'x,y,z'
'-x,-y,-z'
'-x,y+1/2,-z'
'x,-y+1/2,z'
loop_
_atom_site_label
_atom_site_fract_x
_atom_site_fract_y
_atom_site_fract_z
_atom_site_occupancy
Th1 0.188 0.250 0.321 1
Rh1 0.166 0.250 0.769 1
Au1 0.334 0.750 0.005 1
# ρ ... 12.69 g/cm³
# Formation energy ... -0.697 eV per atom
# Energy relative to the lowest polymorph listed for this composition ... 67.1 meV per atom


# ThRhAu | the Alexandria database | PBE-GGA | relaxed
data_ThRhAu
_space_group_name_H-M_alt 'P m m n'
_space_group_IT_number 59
_cell_length_a 5.336
_cell_length_b 5.651
_cell_length_c 8.541
_cell_angle_alpha 90.00
_cell_angle_beta 90.00
_cell_angle_gamma 90.00
loop_
_space_group_symop_operation_xyz
'x,y,z'
'-x,-y,-z'
'-x+1/2,-y+1/2,z'
'x+1/2,y+1/2,-z'
'x+1/2,-y,-z'
'-x+1/2,y,z'
'-x,y+1/2,-z'
'x,-y+1/2,z'
loop_
_atom_site_label
_atom_site_fract_x
_atom_site_fract_y
_atom_site_fract_z
_atom_site_occupancy
Th1 0.250 0.250 0.088 1
Th2 0.250 0.750 0.411 1
Rh1 0.250 0.250 0.439 1
Rh2 0.250 0.750 0.059 1
Au1 0.250 0.000 0.749 1
# ρ ... 13.72 g/cm³
# Formation energy ... -0.764 eV per atom
# Energy relative to the lowest polymorph listed for this composition ... 0.0 meV per atom


# Th7Rh2Au2 | the Alexandria database | PBE-GGA | relaxed
data_Th7Rh2Au2
_space_group_name_H-M_alt 'C 1 2/m 1'
_space_group_IT_number 12
_cell_length_a 11.035
_cell_length_b 8.087
_cell_length_c 7.073
_cell_angle_alpha 90.00
_cell_angle_beta 90.07
_cell_angle_gamma 90.00
loop_
_space_group_symop_operation_xyz
'x,y,z'
'-x,-y,-z'
'-x,y,-z'
'x,-y,z'
'x+1/2,y+1/2,z'
'-x+1/2,-y+1/2,-z'
'-x+1/2,y+1/2,-z'
'x+1/2,-y+1/2,z'
loop_
_atom_site_label
_atom_site_fract_x
_atom_site_fract_y
_atom_site_fract_z
_atom_site_occupancy
Th1 0.000 0.000 0.000 1
Th2 0.000 0.500 0.260 1
Th3 0.250 0.250 0.273 1
Rh1 0.234 0.500 0.999 1
Au1 0.000 0.170 0.500 1
# ρ ... 11.70 g/cm³
# Formation energy ... -0.288 eV per atom